Entry 1:
## MgAl2CdAu4 (PBE-GGA)

Data for a relaxed structure of MgAl2CdAu4.

DOS at the Fermi energy: 1.5 states/eV/f.u.
Space group: R-3m (166)
ΔH_f (0 K): -340 meV/atom

a b c (Å): 8.321 8.321 8.321
angles (deg): 31.83 31.83 31.83
Atoms (fractional coordinates):
1 Mg 0.000 0.000 0.000
2 Al 0.252 0.252 0.252
3 Al 0.748 0.748 0.748
4 Cd 0.500 0.500 0.500
5 Au 0.116 0.116 0.116
6 Au 0.373 0.373 0.373
7 Au 0.627 0.627 0.627
8 Au 0.884 0.884 0.884

=====

Entry 2:
## MgAl2Cd2Au5 (PBE-GGA)

Data for a relaxed structure of MgAl2Cd2Au5.

DOS at the Fermi energy: 2.9 states/eV/f.u.
Space group: P4/mbm (127)
ΔH_f (0 K): -245 meV/atom

a b c (Å): 9.683 9.683 4.021
angles (deg): 90.00 90.00 90.00
Atoms (fractional coordinates):
1 Mg 0.000 0.000 0.000
2 Mg 0.500 0.500 0.000
3 Al 0.122 0.378 0.000
4 Al 0.378 0.878 0.000
5 Al 0.622 0.122 0.000
6 Al 0.878 0.622 0.000
7 Cd 0.176 0.676 0.000
8 Cd 0.324 0.176 0.000
9 Cd 0.676 0.824 0.000
10 Cd 0.824 0.324 0.000
11 Au 0.000 0.500 0.500
12 Au 0.076 0.198 0.500
13 Au 0.198 0.924 0.500
14 Au 0.302 0.424 0.500
15 Au 0.424 0.698 0.500
16 Au 0.500 0.000 0.500
17 Au 0.576 0.302 0.500
18 Au 0.698 0.576 0.500
19 Au 0.802 0.076 0.500
20 Au 0.924 0.802 0.500

=====

Entry 3:
## AlCd2MoAu (PBE-GGA)

Data for a relaxed structure of AlCd2MoAu.

DOS at the Fermi energy: 4.2 states/eV/f.u.
Space group: P4/mmm (123)
ΔH_f (0 K): 1113 meV/atom

a b c (Å): 5.388 5.388 4.953
angles (deg): 90.00 90.00 90.00
Atoms (fractional coordinates):
1 Al 0.000 0.000 0.000
2 Cd 0.000 0.500 0.500
3 Cd 0.500 0.000 0.500
4 Mo 0.500 0.500 0.500
5 Au 0.500 0.500 0.000

=====

Entry 4:
## Na2Al3CdAu12 (PBE-GGA)

Data for a relaxed structure of Na2Al3CdAu12.

DOS at the Fermi energy: 4.8 states/eV/f.u.
Space group: R-3m (166)
ΔH_f (0 K): -64 meV/atom

a b c (Å): 7.892 7.892 7.892
angles (deg): 66.49 66.49 66.49
Atoms (fractional coordinates):
1 Na 0.093 0.093 0.093
2 Na 0.907 0.907 0.907
3 Al 0.000 0.500 0.500
4 Al 0.500 0.000 0.500
5 Al 0.500 0.500 0.000
6 Cd 0.500 0.500 0.500
7 Au 0.110 0.651 0.651
8 Au 0.138 0.138 0.600
9 Au 0.138 0.600 0.138
10 Au 0.349 0.349 0.890
11 Au 0.349 0.890 0.349
12 Au 0.400 0.862 0.862
13 Au 0.600 0.138 0.138
14 Au 0.651 0.110 0.651
15 Au 0.651 0.651 0.110
16 Au 0.862 0.400 0.862
17 Au 0.862 0.862 0.400
18 Au 0.890 0.349 0.349

=====

Number 1: calculated density 11.4 g cm⁻³. Number 2: calculated density 11.3 g cm⁻³. Number 3: calculated density 6.3 g cm⁻³. Number 4: calculated density 10.9 g cm⁻³.